(1)
A geometry-optimized Hf2SnC structure, computed with PBE-GGA.

The value obtained for the total energy is -9.056 eV/atom.

It has space group P6_3/mmc (No. 194), with a = 3.3363 Å, b = 3.3363 Å, c = 14.5093 Å, α = 90.00°, β = 90.00° and γ = 120.00°. The inequivalent atoms are Hf at (0.3333, 0.6667, 0.0847), Sn at (0.3333, 0.6667, 0.7500) and C at (0.0000, 0.0000, 0.0000).

(2)
A geometry-optimized Hf2SnC structure, computed with PBE-GGA.

The value obtained for the total energy is -9.056 eV/atom.

It has space group P-6m2 (No. 187), with a = 3.3363 Å, b = 3.3363 Å, c = 14.5298 Å, α = 90.00°, β = 90.00° and γ = 120.00°. The inequivalent atoms are Hf at (0.0000, 0.0000, 0.1653), Hf at (0.6667, 0.3333, 0.3340), Sn at (0.0000, 0.0000, 0.5000), Sn at (0.6667, 0.3333, 0.0000) and C at (0.3333, 0.6667, 0.2495).

(3)
A geometry-optimized Hf4SnC3 structure, computed with PBE-GGA.

The value obtained for the total energy is -9.817 eV/atom.

It has space group P6_3/mmc (No. 194), with a = 3.3234 Å, b = 3.3234 Å, c = 25.1081 Å, α = 90.00°, β = 90.00° and γ = 120.00°. The inequivalent atoms are Hf at (0.0000, 0.0000, 0.1538), Hf at (0.3333, 0.6667, 0.0511), Sn at (0.3333, 0.6667, 0.2500), C at (0.0000, 0.0000, 0.0000) and C at (0.3333, 0.6667, 0.6083).

(4)
A geometry-optimized Hf2SnC structure, computed with PBE-GGA.

The value obtained for the total energy is -9.056 eV/atom.

It has space group P3m1 (No. 156), with a = 3.3354 Å, b = 3.3354 Å, c = 14.5395 Å, α = 90.00°, β = 90.00° and γ = 120.00°. The inequivalent atoms are Hf at (0.0000, 0.0000, 0.0000), Hf at (0.0000, 0.0000, 0.3315), Hf at (0.3333, 0.6667, 0.5004), Hf at (0.3333, 0.6667, 0.8311), Sn at (0.0000, 0.0000, 0.6665), Sn at (0.3333, 0.6667, 0.1656), C at (0.6667, 0.3333, 0.4160) and C at (0.6667, 0.3333, 0.9154).

(5)
A geometry-optimized Hf2SnC structure, computed with PBE-GGA.

The value obtained for the total energy is -9.056 eV/atom.

It has space group P6_3/mmc (No. 194), with a = 3.3345 Å, b = 3.3345 Å, c = 14.5342 Å, α = 90.00°, β = 90.00° and γ = 120.00°. The inequivalent atoms are Hf at (0.3333, 0.6667, 0.0845), Sn at (0.3333, 0.6667, 0.7500) and C at (0.0000, 0.0000, 0.0000).

(6)
A geometry-optimized HfTaSnC structure, computed with PBE-GGA.

The value obtained for the total energy is -9.320 eV/atom.

It has space group P-3m1 (No. 164), with a = 3.2996 Å, b = 3.2996 Å, c = 14.1280 Å, α = 90.00°, β = 90.00° and γ = 120.00°. The inequivalent atoms are Hf at (0.3333, 0.6667, 0.0873), Ta at (0.3333, 0.6667, 0.4199), Sn at (0.3333, 0.6667, 0.7424), C at (0.0000, 0.0000, 0.0000) and C at (0.0000, 0.0000, 0.5000).

(7)
A geometry-optimized Hf2Ta4Sn3C3 structure, computed with PBE-GGA.

The value obtained for the total energy is -9.411 eV/atom.

It has space group C2/c (No. 15), with a = 9.7833 Å, b = 5.6480 Å, c = 14.5279 Å, α = 90.00°, β = 103.03° and γ = 90.00°. The inequivalent atoms are Hf at (0.0523, 0.0822, 0.4104), Ta at (0.1108, 0.4136, 0.5817), Ta at (0.2242, 0.4180, 0.9182), Sn at (0.0000, 0.4335, 0.2500), Sn at (0.1747, 0.0897, 0.7506), C at (0.0838, 0.2516, 0.0000) and C at (0.2500, 0.2500, 0.5000).

(8)
A geometry-optimized Hf4Ta2Sn3C3 structure, computed with PBE-GGA.

The value obtained for the total energy is -9.241 eV/atom.

It has space group C2/c (No. 15), with a = 9.8311 Å, b = 5.6741 Å, c = 14.8136 Å, α = 90.00°, β = 102.82° and γ = 90.00°. The inequivalent atoms are Hf at (0.1126, 0.0802, 0.0874), Hf at (0.2192, 0.0852, 0.4126), Ta at (0.0583, 0.4146, 0.9187), Sn at (0.0000, 0.0959, 0.7500), Sn at (0.1602, 0.4238, 0.2492), C at (0.0820, 0.2537, 0.5000) and C at (0.2500, 0.2500, 0.0000).

(9)
A geometry-optimized TmHf3Sn2C2 structure, computed with PBE-GGA.

The value obtained for the total energy is -8.332 eV/atom.

It has space group P3m1 (No. 156), with a = 3.3832 Å, b = 3.3832 Å, c = 14.7728 Å, α = 90.00°, β = 90.00° and γ = 120.00°. The inequivalent atoms are Tm at (0.0000, 0.0000, 0.0000), Hf at (0.0000, 0.0000, 0.6621), Hf at (0.6667, 0.3333, 0.1730), Hf at (0.6667, 0.3333, 0.4990), Sn at (0.0000, 0.0000, 0.3361), Sn at (0.6667, 0.3333, 0.8252), C at (0.3333, 0.6667, 0.0954) and C at (0.3333, 0.6667, 0.5805).

(10)
A geometry-optimized Hf4Sn3W2C3 structure, computed with PBE-GGA.

The value obtained for the total energy is -9.222 eV/atom.

It has space group C2/c (No. 15), with a = 9.8531 Å, b = 5.6990 Å, c = 14.4311 Å, α = 90.00°, β = 103.25° and γ = 90.00°. The inequivalent atoms are Hf at (0.1126, 0.0809, 0.0880), Hf at (0.2193, 0.0846, 0.4122), Sn at (0.0000, 0.1050, 0.7500), Sn at (0.1567, 0.4275, 0.2496), W at (0.0605, 0.4133, 0.9226), C at (0.0823, 0.2535, 0.5000) and C at (0.2500, 0.2500, 0.0000).

(11)
A geometry-optimized Hf2Sn3W4C3 structure, computed with PBE-GGA.

The value obtained for the total energy is -9.402 eV/atom.

It has space group C2/c (No. 15), with a = 9.7482 Å, b = 5.6440 Å, c = 14.0535 Å, α = 90.00°, β = 103.06° and γ = 90.00°. The inequivalent atoms are Hf at (0.0532, 0.0829, 0.4071), Sn at (0.0000, 0.4477, 0.2500), Sn at (0.1823, 0.0986, 0.7491), W at (0.1078, 0.4146, 0.5770), W at (0.2265, 0.4166, 0.9231), C at (0.0832, 0.2504, 0.0000) and C at (0.2500, 0.2500, 0.5000).

(12)
A geometry-optimized Y2Hf4Sn3C3 structure, computed with PBE-GGA.

The value obtained for the total energy is -8.422 eV/atom.

It has space group C2/c (No. 15), with a = 10.3225 Å, b = 5.9614 Å, c = 15.1771 Å, α = 90.00°, β = 103.29° and γ = 90.00°. The inequivalent atoms are Y at (0.0474, 0.0804, 0.4034), Hf at (0.1102, 0.4101, 0.5792), Hf at (0.2265, 0.4203, 0.9208), Sn at (0.0000, 0.4619, 0.2500), Sn at (0.1907, 0.1072, 0.7518), C at (0.0881, 0.2642, 0.0000) and C at (0.2500, 0.2500, 0.5000).